Entry 1:
A relaxed PPt3 crystal. Source: Alexandria via LeMat-Bulk, functional PBE.

Structure (CIF):
```
data_PPt3
_chemical_formula_sum 'P3 Pt9'
_cell_length_a 2.9402
_cell_length_b 2.9402
_cell_length_c 24.3934
_cell_angle_alpha 90.00
_cell_angle_beta 90.00
_cell_angle_gamma 120.00
_space_group_name_H-M_alt 'R -3 m'
_space_group_IT_number 166
_space_group_name_Hall '-R 3 2"'
loop_
_atom_site_label
_atom_site_type_symbol
_atom_site_fract_x
_atom_site_fract_y
_atom_site_fract_z
_atom_site_occupancy
P1 P 0.0000 0.0000 0.0000 1
Pt1 Pt 0.0000 0.0000 0.2612 1
Pt2 Pt 0.0000 0.0000 0.5000 1
```

Its distance to the lowest polymorph of the same formula is 0.124 eV per atom. As for the crystal system: trigonal. For the formation energy, the calculation gives -124 meV per atom.

---

Entry 2:
A relaxed Rb2MgCu2I6 crystal. Source: Alexandria via LeMat-Bulk, functional PBE.

Structure (CIF):
```
data_Rb2MgCu2I6
_chemical_formula_sum 'Rb4 Mg2 Cu4 I12'
_cell_length_a 14.3162
_cell_length_b 8.2230
_cell_length_c 8.8042
_cell_angle_alpha 90.00
_cell_angle_beta 120.53
_cell_angle_gamma 90.00
_space_group_name_H-M_alt 'C 1 2/m 1'
_space_group_IT_number 12
loop_
_space_group_symop_operation_xyz
'x,y,z'
'-x,-y,-z'
'-x,y,-z'
'x,-y,z'
'x+1/2,y+1/2,z'
'-x+1/2,-y+1/2,-z'
'-x+1/2,y+1/2,-z'
'x+1/2,-y+1/2,z'
loop_
_atom_site_label
_atom_site_type_symbol
_atom_site_fract_x
_atom_site_fract_y
_atom_site_fract_z
_atom_site_occupancy
Rb1 Rb 0.2181 0.0000 0.2068 1
Mg1 Mg 0.0000 0.0000 0.5000 1
Cu1 Cu 0.0616 0.5000 0.2788 1
I1 I 0.0455 0.2400 0.7764 1
I2 I 0.2424 0.0000 0.6452 1
```

As for the crystal system: monoclinic. The uncorrected formation energy comes out at -0.828 eV/atom.

---

Entry 3:
A relaxed Rb2CrPtBr6 crystal. Source: Alexandria via LeMat-Bulk, functional PBE.

Structure (CIF):
```
data_Rb2CrPtBr6
_chemical_formula_sum 'Rb4 Cr2 Pt2 Br12'
_cell_length_a 7.3389
_cell_length_b 7.3389
_cell_length_c 11.8123
_cell_angle_alpha 90.00
_cell_angle_beta 90.00
_cell_angle_gamma 90.00
_space_group_name_H-M_alt 'I 4/m m m'
_space_group_IT_number 139
_space_group_name_Hall '-I 4 2'
loop_
_atom_site_label
_atom_site_type_symbol
_atom_site_fract_x
_atom_site_fract_y
_atom_site_fract_z
_atom_site_occupancy
Rb1 Rb 0.0000 0.5000 0.2500 1
Cr1 Cr 0.0000 0.0000 0.0000 1
Pt1 Pt 0.0000 0.0000 0.5000 1
Br1 Br 0.0000 0.0000 0.2118 1
Br2 Br 0.2412 0.2412 0.5000 1
```

As for the crystal system: tetragonal. The uncorrected formation energy comes out at -0.892 eV/atom.

---

Entry 4:
A relaxed SbTe2Au crystal. Source: Alexandria via LeMat-Bulk, functional PBE.

Structure (CIF):
```
data_SbTe2Au
_chemical_formula_sum 'Sb2 Te4 Au2'
_cell_length_a 3.8461
_cell_length_b 5.5829
_cell_length_c 10.1463
_cell_angle_alpha 90.00
_cell_angle_beta 90.00
_cell_angle_gamma 90.00
_space_group_name_H-M_alt 'C m m 2'
_space_group_IT_number 35
loop_
_space_group_symop_operation_xyz
'x,y,z'
'-x,-y,z'
'-x,y,z'
'x,-y,z'
'x+1/2,y+1/2,z'
'-x+1/2,-y+1/2,z'
'-x+1/2,y+1/2,z'
'x+1/2,-y+1/2,z'
loop_
_atom_site_label
_atom_site_type_symbol
_atom_site_fract_x
_atom_site_fract_y
_atom_site_fract_z
_atom_site_occupancy
Sb1 Sb 0.0000 0.0000 0.0000 1
Te1 Te 0.0000 0.0000 0.5927 1
Te2 Te 0.0000 0.5000 0.2604 1
Au1 Au 0.0000 0.5000 0.8001 1
```

As for the crystal system: orthorhombic. The uncorrected formation energy comes out at 0.183 eV/atom.

---

Entry 5:
A relaxed La2SiIr crystal. Source: Alexandria via LeMat-Bulk, functional PBE.

Structure (CIF):
```
data_La2SiIr
_chemical_formula_sum 'La8 Si4 Ir4'
_cell_length_a 7.9415
_cell_length_b 7.9415
_cell_length_c 6.6606
_cell_angle_alpha 90.00
_cell_angle_beta 90.00
_cell_angle_gamma 90.00
_space_group_name_H-M_alt 'I -4 2 d'
_space_group_IT_number 122
_space_group_name_Hall 'I -4 2bw'
loop_
_atom_site_label
_atom_site_type_symbol
_atom_site_fract_x
_atom_site_fract_y
_atom_site_fract_z
_atom_site_occupancy
La1 La 0.2180 0.7500 0.1250 1
Si1 Si 0.0000 0.0000 0.5000 1
Ir1 Ir 0.0000 0.0000 0.0000 1
```

As for the crystal system: tetragonal. The uncorrected formation energy comes out at -0.277 eV/atom.

---

Entry 6:
A relaxed Ce2Th3Zr2 crystal. Source: Alexandria via LeMat-Bulk, functional PBE.

Structure (CIF):
```
data_Ce2Th3Zr2
_chemical_formula_sum 'Ce4 Th6 Zr4'
_cell_length_a 5.0669
_cell_length_b 22.9801
_cell_length_c 3.4067
_cell_angle_alpha 90.00
_cell_angle_beta 90.00
_cell_angle_gamma 90.00
_space_group_name_H-M_alt 'C m m m'
_space_group_IT_number 65
_space_group_name_Hall '-C 2 2'
loop_
_atom_site_label
_atom_site_type_symbol
_atom_site_fract_x
_atom_site_fract_y
_atom_site_fract_z
_atom_site_occupancy
Ce1 Ce 0.0000 0.0717 0.0000 1
Th1 Th 0.0000 0.3489 0.5000 1
Th2 Th 0.0000 0.5000 0.5000 1
Zr1 Zr 0.0000 0.2138 0.0000 1
```

As for the crystal system: orthorhombic. For the formation energy, the calculation gives 56 meV per atom.

---

Entry 7:
A relaxed Ni2Sn2Hg crystal. Source: Alexandria via LeMat-Bulk, functional PBE.

Structure (CIF):
```
data_Ni2Sn2Hg
_chemical_formula_sum 'Ni4 Sn4 Hg2'
_cell_length_a 7.9247
_cell_length_b 7.9247
_cell_length_c 2.9735
_cell_angle_alpha 90.00
_cell_angle_beta 90.00
_cell_angle_gamma 90.00
_space_group_name_H-M_alt 'P 4/m b m'
_space_group_IT_number 127
_space_group_name_Hall '-P 4 2ab'
loop_
_atom_site_label
_atom_site_type_symbol
_atom_site_fract_x
_atom_site_fract_y
_atom_site_fract_z
_atom_site_occupancy
Ni1 Ni 0.1230 0.3770 0.0000 1
Sn1 Sn 0.1646 0.6646 0.5000 1
Hg1 Hg 0.0000 0.0000 0.5000 1
```

Its distance to the lowest polymorph of the same formula is 0.099 eV per atom. As for the crystal system: tetragonal. For the formation energy, the calculation gives 110 meV per atom.

---

Entry 8:
A relaxed Tb6HgSb2Te3 crystal. Source: Alexandria via LeMat-Bulk, functional PBE.

Structure (CIF):
```
data_Tb6HgSb2Te3
_chemical_formula_sum 'Tb12 Hg2 Sb4 Te6'
_cell_length_a 19.1559
_cell_length_b 4.3328
_cell_length_c 8.8653
_cell_angle_alpha 90.00
_cell_angle_beta 103.62
_cell_angle_gamma 90.00
_space_group_name_H-M_alt 'C 1 2/m 1'
_space_group_IT_number 12
loop_
_space_group_symop_operation_xyz
'x,y,z'
'-x,-y,-z'
'-x,y,-z'
'x,-y,z'
'x+1/2,y+1/2,z'
'-x+1/2,-y+1/2,-z'
'-x+1/2,y+1/2,-z'
'x+1/2,-y+1/2,z'
loop_
_atom_site_label
_atom_site_type_symbol
_atom_site_fract_x
_atom_site_fract_y
_atom_site_fract_z
_atom_site_occupancy
Tb1 Tb 0.0003 0.0000 0.2417 1
Tb2 Tb 0.1619 0.5000 0.0857 1
Tb3 Tb 0.1696 0.5000 0.5771 1
Hg1 Hg 0.0000 0.5000 0.0000 1
Sb1 Sb 0.1659 0.0000 0.3330 1
Te1 Te 0.0000 0.5000 0.5000 1
Te2 Te 0.1699 0.0000 0.8327 1
```

As for the crystal system: monoclinic. The uncorrected formation energy comes out at -1.139 eV/atom.

---

Number 1: M_tot 0.00 μB/f.u.. Number 2: M_tot 0.00 μB/f.u.. Number 3: M_tot 4.00 μB/f.u.. Number 4: M_tot 0.00 μB/f.u.. Number 5: M_tot 0.00 μB/f.u.. Number 6: M_tot 0.00 μB/f.u.. Number 7: M_tot 0.00 μB/f.u.. Number 8: M_tot 0.00 μB/f.u..